An optimized crystal structure of CaAlP2S8, computed with PBE-GGA.

## Properties
symmetry	No. 147
volume	251.7	Å³/cell
uncorrected formation energy	-0.5402	eV/atom
uncorrected energy	-4.67	eV per atom
ρ	2.54	g cm⁻³

a b c (Å): 5.872 5.872 8.430
angles (deg): 90.00 90.00 120.00
Fractional positions:
Ca (0.000, 0.000, 0.000)
Al (0.000, 0.000, 0.500)
P (0.333, 0.667, 0.743)
P (0.667, 0.333, 0.257)
S (0.001, 0.314, 0.686)
S (0.313, 0.999, 0.686)
S (0.314, 0.313, 0.314)
S (0.333, 0.667, 0.985)
S (0.667, 0.333, 0.015)
S (0.686, 0.687, 0.686)
S (0.687, 0.001, 0.314)
S (0.999, 0.686, 0.314)

An optimized crystal structure of KIO2, computed with PBE-GGA.

## Properties
symmetry	No. 225
volume	67.0	Å³/cell
uncorrected formation energy	0.1612	eV/atom
energy above the lowest structure with this stoichiometry	339	kJ/mol of formula units
uncorrected energy	-2.98	eV per atom
ρ	4.91	g cm⁻³

a b c (Å): 4.558 4.558 4.558
angles (deg): 60.00 60.00 60.00
Fractional positions:
K (0.000, 0.000, 0.000)
I (0.500, 0.500, 0.500)
O (0.250, 0.250, 0.250)
O (0.750, 0.750, 0.750)